# ScCuSn

A relaxed ScCuSn crystal (GGA-PBEsol, Alexandria via LeMat-Bulk).

Cell lengths 4.354, 4.354, 6.767 Å; angles 90.00, 90.00, 120.00 degrees
Positions (direct):
Sc: 0.000 0.000 0.000
Sc: 0.000 0.000 0.500
Cu: 0.333 0.667 0.171
Cu: 0.667 0.333 0.671
Sn: 0.333 0.667 0.769
Sn: 0.667 0.333 0.269

Calculated values
space-group type: P6_3mc (186)
magnetic moment: 0.0000 μB/atom
formation energy: -1.77 eV per formula unit
Fermi-level density of states: 0.1474 states/eV per atom